No. 1
{"formula": "Ni2PdRuC", "functional": "GGA-PBE", "state": "relaxed", "lattice_angstrom": [[3.8492, 0.0000, 0.0000], [0.0000, 3.8492, 0.0000], [0.0000, 0.0000, 3.9823]], "species": ["Ni", "Ru", "C", "Pd", "Ni"], "frac_coords": [[0.5000, 0.0000, 0.0000], [0.0000, 0.0000, 0.5000], [0.0000, 0.0000, 0.0000], [0.5000, 0.5000, 0.5000], [0.0000, 0.5000, 0.0000]], "formation_enthalpy_0k_kj_per_mol_atoms": 21.5, "space_group": "No. 123"}

***

No. 2
{"formula": "Sr2NiPdC", "functional": "GGA-PBE", "state": "relaxed", "lattice_angstrom": [[-5.4049, 0.6615, -0.7058], [-0.9579, -3.0999, 4.4296], [0.0889, 2.9490, 2.0830]], "species": ["Pd", "Ni", "C", "Sr", "Sr"], "frac_coords": [[0.5000, 0.5000, 0.5000], [0.0000, 0.0000, 0.5000], [0.0000, 0.0000, 0.0000], [0.5000, 0.0000, 0.0000], [0.0000, 0.5000, 0.0000]], "formation_enthalpy_0k_kj_per_mol_atoms": -12.8, "space_group": "No. 123"}

***

No. 3
{"formula": "TcNi2PdC", "functional": "GGA-PBE", "state": "relaxed", "lattice_angstrom": [[-1.0495, 0.6340, 3.6433], [2.7763, -2.3667, 1.2117], [2.5582, 3.1019, 0.1971]], "species": ["Tc", "Ni", "Pd", "C", "Ni"], "frac_coords": [[0.0000, 0.0000, 0.5000], [0.5000, 0.0000, 0.0000], [0.5000, 0.5000, 0.5000], [0.0000, 0.0000, 0.0000], [0.0000, 0.5000, 0.0000]], "formation_enthalpy_0k_kj_per_mol_atoms": 19.4, "space_group": "No. 123"}

***

No. 4
{"formula": "TiNiPd2C", "functional": "GGA-PBE", "state": "relaxed", "lattice_angstrom": [[-1.1764, 2.3819, 3.2986], [-2.9253, -2.2339, 0.5697], [2.3428, -2.4108, 2.5763]], "species": ["Ti", "Pd", "Ni", "Pd", "C"], "frac_coords": [[0.5000, 0.5000, 0.5000], [0.5000, 0.0000, 0.0000], [0.0000, 0.5000, 0.0000], [0.0000, 0.0000, 0.5000], [0.0000, 0.0000, 0.0000]], "formation_enthalpy_0k_kj_per_mol_atoms": 13.3, "space_group": "No. 123"}

***

No. 5
{"formula": "VNi2PdC", "functional": "GGA-PBE", "state": "relaxed", "lattice_angstrom": [[3.7994, 0.0000, 0.0000], [0.0000, 3.7994, 0.0000], [0.0000, 0.0000, 3.9920]], "species": ["Ni", "Pd", "C", "V", "Ni"], "frac_coords": [[0.0000, 0.5000, 0.0000], [0.5000, 0.5000, 0.5000], [0.0000, 0.0000, 0.0000], [0.0000, 0.0000, 0.5000], [0.5000, 0.0000, 0.0000]], "formation_enthalpy_0k_kj_per_mol_atoms": -0.4, "space_group": "No. 123"}

***

No. 6
{"formula": "PmNi4C2", "functional": "GGA-PBE", "state": "relaxed", "lattice_angstrom": [[-1.7365, -1.0839, 2.8251], [1.5869, -3.0909, -0.2105], [4.1841, 3.8328, 4.0422]], "species": ["Ni", "C", "Ni", "C", "Pm", "Ni", "Ni"], "frac_coords": [[0.0000, 0.6774, 0.3547], [0.5000, 0.3824, 0.7648], [0.0000, 0.3226, 0.6453], [0.5000, 0.6176, 0.2352], [0.0000, 0.0000, 0.0000], [0.5000, 0.1790, 0.3579], [0.5000, 0.8210, 0.6421]], "formation_enthalpy_0k_kj_per_mol_atoms": -4.3, "space_group": "No. 65"}

***

No. 7
{"formula": "PmNi2C", "functional": "GGA-PBE", "state": "relaxed", "lattice_angstrom": [[3.5799, 0.0000, 0.0000], [1.7900, 3.1003, 0.0000], [1.7900, 1.0334, 4.9896]], "species": ["Pm", "C", "Ni", "Ni"], "frac_coords": [[0.0000, 0.0000, 0.0000], [0.5000, 0.5000, 0.5000], [0.2013, 0.2013, 0.3962], [0.7987, 0.7987, 0.6038]], "formation_enthalpy_0k_kj_per_mol_atoms": 19.7, "space_group": "No. 166"}

***

No. 8
{"formula": "Pm2Ni3C2", "functional": "GGA-PBE", "state": "relaxed", "lattice_angstrom": [[3.5149, 0.0000, 0.0000], [-1.7574, 4.8146, -0.1994], [0.0000, -2.4680, 5.8750]], "species": ["C", "Ni", "Ni", "Pm", "Pm", "Ni", "C"], "frac_coords": [[0.8250, 0.6501, 0.7372], [0.6607, 0.3214, 0.4071], [0.3393, 0.6786, 0.5929], [0.1225, 0.2450, 0.7826], [0.8775, 0.7550, 0.2174], [0.5000, 0.0000, 0.0000], [0.1750, 0.3499, 0.2628]], "formation_enthalpy_0k_kj_per_mol_atoms": 5.1, "space_group": "No. 12"}

***

No. 9
{"formula": "Pm2NiC4", "functional": "GGA-PBE", "state": "relaxed", "lattice_angstrom": [[-2.0730, 1.9188, 4.3924], [-4.0232, -4.5047, 3.1736], [2.8180, -2.6808, 5.6056]], "species": ["C", "C", "Pm", "Pm", "Ni", "Ni", "Pm", "C", "C", "C", "C", "Pm", "C", "C"], "frac_coords": [[0.8764, 0.7839, 0.4634], [0.6236, 0.5366, 0.2161], [0.8568, 0.4736, 0.8129], [0.6432, 0.1871, 0.5264], [0.2500, 0.0000, 0.0000], [0.7500, 0.0000, 0.0000], [0.3568, 0.8129, 0.4736], [0.4169, 0.2525, 0.9137], [0.5831, 0.7475, 0.0863], [0.9169, 0.9137, 0.2525], [0.1236, 0.2161, 0.5366], [0.1432, 0.5264, 0.1871], [0.0831, 0.0863, 0.7475], [0.3764, 0.4634, 0.7839]], "formation_enthalpy_0k_kj_per_mol_atoms": -17.8, "space_group": "No. 72"}

***

No. 10
{"formula": "Pm3Ni5C2", "functional": "GGA-PBE", "state": "relaxed", "lattice_angstrom": [[-0.7529, -3.7813, 5.6141], [5.9441, 1.1129, 5.6777], [-0.2839, 4.3766, 7.0407]], "species": ["Ni", "Pm", "Pm", "Ni", "C", "Ni", "Ni", "Pm", "Ni", "Pm", "Ni", "Ni", "C", "C", "C", "Ni", "Ni", "Pm", "Pm", "Ni"], "frac_coords": [[0.2500, 0.5000, 0.5000], [0.3454, 0.4752, 0.8340], [0.2500, 0.0000, 0.0000], [0.4021, 0.8130, 0.3829], [0.6528, 0.8904, 0.8039], [0.0411, 0.2089, 0.2089], [0.0979, 0.6171, 0.1870], [0.8454, 0.8340, 0.4752], [0.5411, 0.2089, 0.2089], [0.6546, 0.5248, 0.1660], [0.9589, 0.7911, 0.7911], [0.5979, 0.1870, 0.6171], [0.3472, 0.1096, 0.1961], [0.1528, 0.8039, 0.8904], [0.8472, 0.1961, 0.1096], [0.9021, 0.3829, 0.8130], [0.7500, 0.5000, 0.5000], [0.1546, 0.1660, 0.5248], [0.7500, 0.0000, 0.0000], [0.4589, 0.7911, 0.7911]], "formation_enthalpy_0k_kj_per_mol_atoms": -7.8, "space_group": "No. 72"}

***

No. 11
{"formula": "PmNiC2", "functional": "GGA-PBE", "state": "relaxed", "lattice_angstrom": [[3.7861, 0.0000, 0.0000], [0.0000, 3.7951, -0.0950], [0.0000, -0.9897, 3.6650]], "species": ["C", "C", "Pm", "Ni"], "frac_coords": [[0.5000, 0.5468, 0.1520], [0.5000, 0.8480, 0.4532], [0.0000, 0.9989, 0.0011], [0.5000, 0.3863, 0.6137]], "formation_enthalpy_0k_kj_per_mol_atoms": -26.8, "space_group": "No. 38"}

***

No. 12
{"formula": "PmNi2C2", "functional": "GGA-PBE", "state": "relaxed", "lattice_angstrom": [[-2.4215, -2.7037, 0.8850], [1.3897, -0.2377, -4.8090], [5.3453, -4.2136, 1.7529]], "species": ["C", "Ni", "Pm", "Ni", "C", "Ni", "Ni", "C", "C", "Pm"], "frac_coords": [[0.1963, 0.3925, 0.1508], [0.3411, 0.6823, 0.5573], [0.9293, 0.8586, 0.2500], [0.3411, 0.6823, 0.9427], [0.1963, 0.3925, 0.3492], [0.6589, 0.3177, 0.4427], [0.6589, 0.3177, 0.0573], [0.8037, 0.6075, 0.8492], [0.8037, 0.6075, 0.6508], [0.0707, 0.1414, 0.7500]], "formation_enthalpy_0k_kj_per_mol_atoms": -8.9, "polymorph_energy_mev_per_atom": 0.0, "space_group": "No. 63"}

***

No. 13
{"formula": "Pm12Ni6C", "functional": "GGA-PBE", "state": "relaxed", "lattice_angstrom": [[8.0133, 0.1264, 0.1514], [-1.0899, 7.9398, 0.1514], [-1.0899, -1.2698, 7.8391]], "species": ["Pm", "Ni", "Pm", "Pm", "Pm", "Ni", "Pm", "C", "Ni", "Pm", "Pm", "Ni", "Pm", "Pm", "Pm", "Pm", "Ni", "Pm", "Ni"], "frac_coords": [[0.1836, 0.4103, 0.5797], [0.3833, 0.6916, 0.8754], [0.9135, 0.0451, 0.6934], [0.3066, 0.0865, 0.9549], [0.8164, 0.5897, 0.4203], [0.3084, 0.1246, 0.6167], [0.5797, 0.1836, 0.4103], [0.0000, 0.0000, 0.0000], [0.6167, 0.3084, 0.1246], [0.4203, 0.8164, 0.5897], [0.4103, 0.5797, 0.1836], [0.1246, 0.6167, 0.3084], [0.9549, 0.3066, 0.0865], [0.0451, 0.6934, 0.9135], [0.5897, 0.4203, 0.8164], [0.0865, 0.9549, 0.3066], [0.8754, 0.3833, 0.6916], [0.6934, 0.9135, 0.0451], [0.6916, 0.8754, 0.3833]], "formation_enthalpy_0k_kj_per_mol_atoms": -13.6, "space_group": "No. 148"}

***

No. 14
{"formula": "PmNi2C2", "functional": "GGA-PBE", "state": "relaxed", "lattice_angstrom": [[-2.3414, 0.1206, 2.5075], [-1.3458, -2.9603, -1.1001], [4.9961, -1.1532, 2.3636]], "species": ["Ni", "C", "Ni", "Pm", "C"], "frac_coords": [[0.7500, 0.2500, 0.5000], [0.6507, 0.6507, 0.3015], [0.2500, 0.7500, 0.5000], [0.0000, 0.0000, 0.0000], [0.3493, 0.3493, 0.6985]], "formation_enthalpy_0k_kj_per_mol_atoms": 10.7, "polymorph_energy_mev_per_atom": 203.1, "space_group": "No. 69"}

***

No. 15
{"formula": "Pm2Ni4C", "functional": "GGA-PBE", "state": "relaxed", "lattice_angstrom": [[3.8556, 0.0000, 0.0000], [0.0000, 3.8556, 0.0000], [1.9278, 1.9278, 7.6860]], "species": ["Ni", "Ni", "Pm", "Ni", "C", "Ni", "Pm"], "frac_coords": [[0.0000, 0.5000, 0.0000], [0.5000, 0.0000, 0.0000], [0.6628, 0.6628, 0.6744], [0.1225, 0.1225, 0.7550], [0.0000, 0.0000, 0.0000], [0.8775, 0.8775, 0.2450], [0.3372, 0.3372, 0.3256]], "formation_enthalpy_0k_kj_per_mol_atoms": -18.8, "polymorph_energy_mev_per_atom": 0.0, "space_group": "No. 139"}

***

No. 16
{"formula": "Pm3Ni4C2", "functional": "GGA-PBE", "state": "relaxed", "lattice_angstrom": [[-3.2188, -1.4482, 1.1008], [4.1577, -3.0941, 1.8780], [-0.0039, 4.5434, 5.9661]], "species": ["Ni", "Ni", "Pm", "C", "Ni", "C", "Ni", "Pm", "Pm"], "frac_coords": [[0.2934, 0.5869, 0.9049], [0.9257, 0.8515, 0.6401], [0.0000, 0.0000, 0.0000], [0.3992, 0.7985, 0.7057], [0.7066, 0.4131, 0.0951], [0.6008, 0.2015, 0.2943], [0.0743, 0.1485, 0.3599], [0.3505, 0.7010, 0.3498], [0.6495, 0.2990, 0.6502]], "formation_enthalpy_0k_kj_per_mol_atoms": -17.6, "space_group": "No. 12"}

***

No. 17
{"formula": "Pm4Ni2C", "functional": "GGA-PBE", "state": "relaxed", "lattice_angstrom": [[5.1174, 0.0000, 0.0000], [0.0000, 5.1174, 0.0000], [2.5587, 2.5587, 6.5498]], "species": ["Pm", "Pm", "Pm", "Ni", "C", "Pm", "Ni"], "frac_coords": [[0.5000, 0.0000, 0.0000], [0.0000, 0.5000, 0.0000], [0.1905, 0.1905, 0.6191], [0.3987, 0.3987, 0.2025], [0.0000, 0.0000, 0.0000], [0.8095, 0.8095, 0.3809], [0.6013, 0.6013, 0.7975]], "formation_enthalpy_0k_kj_per_mol_atoms": 0.0, "space_group": "No. 139"}

***

No. 18
{"formula": "Pm2Ni4C", "functional": "GGA-PBE", "state": "relaxed", "lattice_angstrom": [[-3.7456, 0.9874, 3.3251], [-3.2415, -2.7274, -2.8486], [4.5701, -2.8181, 2.0693]], "species": ["Pm", "C", "Ni", "Ni", "Pm", "Ni", "Ni"], "frac_coords": [[0.7500, 0.2500, 0.5000], [0.9999, 0.9999, 0.9999], [0.7409, 0.7409, 0.0000], [0.2588, 0.7412, 0.0000], [0.2500, 0.7500, 0.5000], [0.2591, 0.2591, 0.0000], [0.7412, 0.2588, 0.0000]], "formation_enthalpy_0k_kj_per_mol_atoms": -5.8, "polymorph_energy_mev_per_atom": 134.6, "space_group": "No. 139"}

***

No. 19
{"formula": "PmNi6C", "functional": "GGA-PBE", "state": "relaxed", "lattice_angstrom": [[-3.8440, 3.3494, 1.0799], [-4.4924, -0.2532, -2.6298], [-4.3776, -1.7705, 2.4845]], "species": ["Pm", "Ni", "Ni", "Ni", "Ni", "Ni", "C", "Ni"], "frac_coords": [[0.5000, 0.5000, 0.5000], [0.9004, 0.9004, 0.7722], [0.9004, 0.4270, 0.7722], [0.4270, 0.9004, 0.7722], [0.0996, 0.5730, 0.2278], [0.0996, 0.0996, 0.2278], [0.0000, 0.0000, 0.0000], [0.5730, 0.0996, 0.2278]], "formation_enthalpy_0k_kj_per_mol_atoms": -5.8, "space_group": "No. 166"}

***

No. 20
{"formula": "Pm2Ni6C", "functional": "GGA-PBE", "state": "relaxed", "lattice_angstrom": [[4.6459, -0.0243, -0.0141], [0.0302, 5.6846, 0.0082], [0.0302, 2.8393, 4.9247]], "species": ["Ni", "Ni", "Ni", "Pm", "Ni", "Ni", "Ni", "C", "Pm"], "frac_coords": [[0.7371, 0.1501, 0.1501], [0.2629, 0.3004, 0.8497], [0.2629, 0.8497, 0.3004], [0.2329, 0.3332, 0.3332], [0.2629, 0.8499, 0.8499], [0.7371, 0.6996, 0.1503], [0.7371, 0.1503, 0.6996], [0.0000, 0.0000, 0.0000], [0.7671, 0.6668, 0.6668]], "formation_enthalpy_0k_kj_per_mol_atoms": -13.6, "space_group": "No. 164"}

***

No. 21
{"formula": "Pm2Si2Ni2C", "functional": "GGA-PBE", "state": "relaxed", "lattice_angstrom": [[4.0129, 0.0000, 0.0000], [2.0064, 5.4900, -0.5869], [2.0064, 1.4505, 5.0985]], "species": ["C", "Pm", "Si", "Ni", "Ni", "Si", "Pm"], "frac_coords": [[0.0000, 0.0000, 0.0000], [0.4371, 0.8277, 0.2981], [0.8425, 0.6003, 0.7146], [0.7996, 0.2998, 0.1010], [0.2004, 0.7002, 0.8990], [0.1575, 0.3997, 0.2854], [0.5629, 0.1723, 0.7019]], "raw_formation_energy_ev_per_fu": -3.98, "space_group": "No. 12"}

***

No. 22
{"formula": "Pr2Ni6C", "functional": "GGA-PBE", "state": "relaxed", "lattice_angstrom": [[-4.0923, 0.0758, -1.7354], [2.2982, -1.0382, -5.4583], [0.7383, -5.6291, -1.9801]], "species": ["Ni", "Pr", "Ni", "Ni", "Ni", "Ni", "Pr", "Ni", "C"], "frac_coords": [[0.2620, 0.2848, 0.8561], [0.2307, 0.3322, 0.3322], [0.7380, 0.7152, 0.1439], [0.7377, 0.1410, 0.1410], [0.2620, 0.8561, 0.2848], [0.2623, 0.8590, 0.8590], [0.7693, 0.6678, 0.6678], [0.7380, 0.1439, 0.7152], [0.0000, 0.0000, 0.0000]], "formation_enthalpy_0k_kj_per_mol_atoms": -9.1, "space_group": "No. 12"}

***

No. 23
{"formula": "PrNi7C2", "functional": "GGA-PBE", "state": "relaxed", "lattice_angstrom": [[-1.9442, -2.8704, -1.6422], [-2.1827, -1.6771, 5.5153], [-3.0579, 4.0638, -3.4829]], "species": ["Ni", "Ni", "Ni", "Ni", "C", "Ni", "Pr", "Ni", "Ni", "C"], "frac_coords": [[0.5000, 0.3459, 0.0478], [0.0000, 0.2828, 0.7172], [0.5000, 0.0478, 0.3459], [0.0000, 0.7172, 0.2828], [0.5000, 0.6865, 0.3135], [0.5000, 0.9522, 0.6541], [0.0000, 0.0000, 0.0000], [0.5000, 0.5000, 0.5000], [0.5000, 0.6541, 0.9522], [0.5000, 0.3135, 0.6865]], "formation_enthalpy_0k_kj_per_mol_atoms": 14.3, "space_group": "No. 65"}

***

No. 24
{"formula": "PrNi2C", "functional": "GGA-PBE", "state": "relaxed", "lattice_angstrom": [[-2.3385, -1.0930, 2.5068], [-1.2454, -3.3754, -0.0511], [2.6545, -2.9544, 3.7705]], "species": ["C", "Pr", "Ni", "Ni"], "frac_coords": [[0.0000, 0.0000, 0.0000], [0.5000, 0.5000, 0.5000], [0.6999, 0.6999, 0.9002], [0.3001, 0.3001, 0.0998]], "formation_enthalpy_0k_kj_per_mol_atoms": 22.7, "polymorph_energy_mev_per_atom": 370.6, "space_group": "No. 166"}

***

No. 25
{"formula": "Pr2Ni4C", "functional": "GGA-PBE", "state": "relaxed", "lattice_angstrom": [[3.8785, 0.0000, 0.0000], [0.0000, 3.8785, 0.0000], [1.9392, 1.9392, 7.8330]], "species": ["Ni", "Ni", "Ni", "C", "Pr", "Ni", "Pr"], "frac_coords": [[0.1200, 0.1200, 0.7599], [0.0000, 0.5000, 0.0000], [0.8800, 0.8800, 0.2401], [0.0000, 0.0000, 0.0000], [0.6612, 0.6612, 0.6775], [0.5000, 0.0000, 0.0000], [0.3388, 0.3388, 0.3225]], "formation_enthalpy_0k_kj_per_mol_atoms": -15.2, "polymorph_energy_mev_per_atom": 0.0, "space_group": "No. 139"}

***

| no. | total energy (eV per atom) |
| --- | --- |
| 1 | -6.828 |
| 2 | -4.845 |
| 3 | -7.068 |
| 4 | -6.519 |
| 5 | -7.023 |
| 6 | -6.662 |
| 7 | -6.181 |
| 8 | -6.417 |
| 9 | -7.638 |
| 10 | -6.242 |
| 11 | -7.522 |
| 12 | -7.044 |
| 13 | -5.452 |
| 14 | -6.841 |
| 15 | -6.173 |
| 16 | -6.385 |
| 17 | -5.684 |
| 18 | -6.039 |
| 19 | -6.143 |
| 20 | -6.076 |
| 21 | -6.445 |
| 22 | -6.035 |
| 23 | -6.221 |
| 24 | -6.156 |
| 25 | -6.145 |